1.
The following is a PBE-GGA calculation of BaMnIn2 after structural relaxation, from the Alexandria database.

N(E_F) = 2.8 states/eV per cell
Energy of formation = -3.2 kJ/mol of atoms

Cell lengths 4.7653, 4.7653, 6.9356 Å; angles 69.95, 69.95, 59.98 degrees
Closest atoms and distances in Å follow each position.
Fractional positions:
Ba 0.7559 0.7559 0.7323  4 Mn 3.55-3.94, 7 In 3.64-3.89
In 0.9597 0.9597 0.1209  3 Mn 2.95, 3 In 3.14
In 0.2142 0.2142 0.3576  3 Mn 2.79
Mn 0.5702 0.5702 0.2892  6 In 2.79-2.95

---

2.
The following is a PBE-GGA calculation of TbNdAlCu after structural relaxation, from the Alexandria database.

N(E_F) = 4.6 states/eV per cell
Energy of formation = -22.6 kJ/mol of atoms

Cell lengths 5.1418, 5.1418, 5.1418 Å; angles 60.00, 60.00, 60.00 degrees
Closest atoms and distances in Å follow each position.
Fractional positions:
Nd 0.2500 0.2500 0.2500  4 Cu 3.15, 4 Al 3.15
Tb 0.7500 0.7500 0.7500  4 Al 3.15, 4 Cu 3.15
Al 0.0000 0.0000 0.0000  4 Nd 3.15, 4 Tb 3.15
Cu 0.5000 0.5000 0.5000  4 Tb 3.15, 4 Nd 3.15

---

3.
The following is a PBE-GGA calculation of TaMo2H after structural relaxation, from the Alexandria database.

Distance to the lowest polymorph of the same formula = 0.0661 eV/atom
N(E_F) = 3.5 states/eV per cell

Cell lengths 2.8948, 2.8948, 7.7321 Å; angles 79.21, 79.21, 60.00 degrees
Closest atoms and distances in Å follow each position.
Fractional positions:
H 0.5000 0.5000 0.5000  6 Mo 2.03
Mo 0.1155 0.1155 0.6535  3 H 2.03
Mo 0.8845 0.8845 0.3465  3 H 2.03
Ta 0.0000 0.0000 0.0000  2 Mo 2.62, 6 Ta 2.89

---

4.
The following is a PBE-GGA calculation of LaPm2Pr2Dy2 after structural relaxation, from the Alexandria database.

N(E_F) = 12.1 states/eV per cell
Energy of formation = 8.1 kJ/mol of atoms

Cell lengths 3.5856, 6.2170, 12.1447 Å; angles 71.20, 90.00, 106.76 degrees
Closest atoms and distances in Å follow each position.
Fractional positions:
La 0.0000 0.0000 0.5000  6 Dy 3.58-3.63, 2 La 3.59, 4 Pm 3.61
Pm 0.4469 0.8938 0.7704  3 Dy 3.55-3.62, 4 Pr 3.57-3.68, 2 Pm 3.59, 2 La 3.61
Pm 0.5531 0.1062 0.2296  3 Dy 3.55-3.62, 4 Pr 3.57-3.68, 2 Pm 3.59, 2 La 3.61
Pr 0.6668 0.3337 0.9177  4 Pm 3.57-3.68, 5 Pr 3.59-3.80, 2 Dy 3.70
Pr 0.3332 0.6663 0.0823  4 Pm 3.57-3.68, 5 Pr 3.59-3.80, 2 Dy 3.70
Dy 0.7767 0.5534 0.3627  3 Pm 3.55-3.62, 3 La 3.58-3.63, 4 Dy 3.59-3.65, 2 Pr 3.70
Dy 0.2233 0.4466 0.6373  3 Pm 3.55-3.62, 3 La 3.58-3.63, 4 Dy 3.59-3.65, 2 Pr 3.70

---

5.
The following is a PBE-GGA calculation of LaPCl3 after structural relaxation, from the Alexandria database.

E_form (uncorrected) = -5.80 eV/f.u.
N(E_F) = 0.0 states/eV per cell

Cell lengths 5.6095, 5.6095, 5.6095 Å; angles 90.00, 90.00, 90.00 degrees
Closest atoms and distances in Å follow each position.
Fractional positions:
P 0.5000 0.5000 0.5000  12 Cl 3.97
Cl 0.0000 0.5000 0.0000  2 La 2.80
Cl 0.0000 0.0000 0.5000  2 La 2.80
Cl 0.5000 0.0000 0.0000  2 La 2.80
La 0.0000 0.0000 0.0000  6 Cl 2.80

---

6.
The following is a PBE-GGA calculation of KInSnSe3 after structural relaxation, from the Alexandria database.

E_form (uncorrected) = -4.11 eV/f.u.

Cell lengths 4.2956, 9.4404, 11.0384 Å; angles 99.44, 90.00, 90.00 degrees
Closest atoms and distances in Å follow each position.
Fractional positions:
K 0.2500 0.1507 0.1566  5 Se 3.28-3.38
K 0.7500 0.8493 0.8434  5 Se 3.28-3.38
In 0.2500 0.0956 0.6184  4 Se 2.51-2.73
In 0.7500 0.9044 0.3816  4 Se 2.51-2.73
Sn 0.2500 0.6143 0.1380  3 Se 2.70-2.95
Sn 0.7500 0.3857 0.8620  3 Se 2.70-2.95
Se 0.7500 0.8730 0.1517  1 In 2.51
Se 0.2500 0.1270 0.8483  1 In 2.51
Se 0.2500 0.8176 0.5001  3 In 2.71-2.73
Se 0.7500 0.1824 0.4999  3 In 2.71-2.73
Se 0.7500 0.3976 0.1083  3 Sn 2.70-2.95
Se 0.2500 0.6024 0.8917  3 Sn 2.70-2.95

---

7.
The following is a PBE-GGA calculation of K2CaCu2H6 after structural relaxation, from the Alexandria database.

VASP energy = -34.71 eV/cell

Cell lengths 5.6696, 5.7028, 6.8151 Å; angles 113.34, 90.00, 119.81 degrees
Closest atoms and distances in Å follow each position.
Fractional positions:
K 0.7119 0.4237 0.1429  9 H 2.86-3.03
K 0.2881 0.5763 0.8571  9 H 2.86-3.03
Ca 0.5000 0.0000 0.5000  6 H 2.26-2.27
Cu 0.9221 0.8442 0.7478  3 H 1.61-1.62
Cu 0.0779 0.1558 0.2522  3 H 1.61-1.62
H 0.7534 0.5068 0.7290  1 Cu 1.62
H 0.2397 0.9867 0.2402  1 Cu 1.61
H 0.2530 0.0133 0.7598  1 Cu 1.61
H 0.7603 0.0133 0.7598  1 Cu 1.61
H 0.7470 0.9867 0.2402  1 Cu 1.61
H 0.2466 0.4932 0.2710  1 Cu 1.62

---

8.
The following is a PBE-GGA calculation of Re4IrPb after structural relaxation, from the Alexandria database.

N(E_F) = 9.2 states/eV per cell
Energy of formation = 85.6 kJ/mol of atoms

Cell lengths 5.2590, 5.2590, 5.2590 Å; angles 60.00, 60.00, 60.00 degrees
Closest atoms and distances in Å follow each position.
Fractional positions:
Re 0.6233 0.6233 0.1300  6 Re 2.59-2.66
Re 0.6233 0.1300 0.6233  6 Re 2.59-2.66
Re 0.6233 0.6233 0.6233  6 Re 2.59-2.66
Re 0.1300 0.6233 0.6233  6 Re 2.59-2.66
Ir 0.2500 0.2500 0.2500  12 Re 3.08, 4 Pb 3.22
Pb 0.0000 0.0000 0.0000  12 Re 3.09, 4 Ir 3.22

---

9.
The following is a PBE-GGA calculation of MgZrGe after structural relaxation, from the Alexandria database.

N(E_F) = 3.3 states/eV per cell
Energy of formation = -11.9 kJ/mol of atoms

Cell lengths 4.6575, 4.6575, 6.6937 Å; angles 90.00, 90.00, 120.00 degrees
Closest atoms and distances in Å follow each position.
Fractional positions:
Ge 0.0000 0.0000 0.7912  3 Zr 2.76, 1 Ge 2.80, 3 Mg 2.97
Ge 0.0000 0.0000 0.2088  3 Zr 2.76, 1 Ge 2.80, 3 Mg 2.97
Zr 0.3333 0.6667 0.8851  3 Ge 2.76
Zr 0.6667 0.3333 0.1149  3 Ge 2.76
Mg 0.6667 0.3333 0.6041  3 Ge 2.97, 3 Mg 3.03, 4 Zr 3.28
Mg 0.3333 0.6667 0.3959  3 Ge 2.97, 3 Mg 3.03, 4 Zr 3.28

---

10.
The following is a PBE-GGA calculation of Pm2ScAu3 after structural relaxation, from the Alexandria database.

N(E_F) = 2.9 states/eV per cell
Energy of formation = -74.9 kJ/mol of atoms

Cell lengths 3.5608, 3.5608, 10.9866 Å; angles 90.00, 90.00, 90.00 degrees
Closest atoms and distances in Å follow each position.
Fractional positions:
Pm 0.5000 0.5000 0.8251  8 Au 3.17-3.22
Pm 0.5000 0.5000 0.1749  8 Au 3.17-3.22
Sc 0.5000 0.5000 0.5000  8 Au 2.96
Au 0.0000 0.0000 0.0000  8 Pm 3.17
Au 0.0000 0.0000 0.6418  4 Sc 2.96, 1 Au 3.12, 4 Pm 3.22
Au 0.0000 0.0000 0.3582  4 Sc 2.96, 1 Au 3.12, 4 Pm 3.22

---

11.
The following is a PBE-GGA calculation of Hf2CdCo after structural relaxation, from the Alexandria database.

N(E_F) = 9.3 states/eV per cell
Energy of formation = 20.1 kJ/mol of atoms

Cell lengths 7.4787, 7.4787, 5.9958 Å; angles 51.42, 51.42, 90.00 degrees
Closest atoms and distances in Å follow each position.
Fractional positions:
Co 0.5000 0.5000 0.0000  4 Hf 2.46
Co 0.2500 0.7500 0.5000  4 Hf 2.46
Hf 0.5665 0.1250 0.2500  2 Co 2.46
Hf 0.1835 0.6250 0.2500  2 Co 2.46
Hf 0.3750 0.4335 0.7500  2 Co 2.46
Hf 0.8750 0.8165 0.7500  2 Co 2.46
Cd 0.0000 0.0000 0.0000  2 Co 2.83, 4 Hf 3.05
Cd 0.7500 0.2500 0.5000  2 Co 2.83, 4 Hf 3.05

---

12.
The following is a PBE-GGA calculation of Ba6LiAg3 after structural relaxation, from the Alexandria database.

N(E_F) = 21.4 states/eV per cell
Energy of formation = -11.1 kJ/mol of atoms

Cell lengths 4.8121, 13.0880, 15.4448 Å; angles 112.02, 90.00, 90.00 degrees
Closest atoms and distances in Å follow each position.
Fractional positions:
Ba 0.7500 0.4798 0.6058  3 Ag 3.39-3.48
Ba 0.2500 0.5202 0.3942  3 Ag 3.39-3.48
Ba 0.7500 0.8371 0.0882  5 Ag 3.46-3.64, 2 Li 3.61
Ba 0.2500 0.1629 0.9118  5 Ag 3.46-3.64, 2 Li 3.61
Ba 0.7500 0.4403 0.0976  3 Ag 3.52-3.66
Ba 0.2500 0.5597 0.9024  3 Ag 3.52-3.66
Ba 0.7500 0.7398 0.3187  3 Ag 3.42-3.61, 2 Li 3.52
Ba 0.2500 0.2602 0.6813  3 Ag 3.42-3.61, 2 Li 3.52
Ba 0.7500 0.1083 0.4312  2 Ag 3.41, 2 Li 3.68
Ba 0.2500 0.8917 0.5688  2 Ag 3.41, 2 Li 3.68
Ba 0.7500 0.8347 0.7995  4 Ag 3.50-3.79, 1 Li 3.91
Ba 0.2500 0.1653 0.2005  4 Ag 3.50-3.79, 1 Li 3.91
Li 0.7500 0.0889 0.7242  1 Ag 3.07
Li 0.2500 0.9111 0.2758  1 Ag 3.07
Ag 0.7500 0.3343 0.8515  1 Li 3.07, 2 Ba 3.42
Ag 0.2500 0.6657 0.1485  1 Li 3.07, 2 Ba 3.42
Ag 0.7500 0.6961 0.5357  7 Ba 3.39-3.79
Ag 0.2500 0.3039 0.4643  7 Ba 3.39-3.79
Ag 0.7500 0.0668 0.0237  2 Ag 2.90
Ag 0.2500 0.9332 0.9763  2 Ag 2.90

---

13.
The following is a PBE-GGA calculation of Li3CaAs after structural relaxation, from the Alexandria database.

Distance to the lowest polymorph of the same formula = 1.1400 eV/atom
N(E_F) = 1.4 states/eV per cell
Energy of formation = 78.6 kJ/mol of atoms

Cell lengths 5.1601, 5.1601, 5.1601 Å; angles 90.00, 90.00, 90.00 degrees
Closest atoms and distances in Å follow each position.
Fractional positions:
As 0.5000 0.5000 0.5000  12 Li 3.65
Ca 0.0000 0.0000 0.0000  6 Li 2.58
Li 0.0000 0.5000 0.0000  2 Ca 2.58
Li 0.0000 0.0000 0.5000  2 Ca 2.58
Li 0.5000 0.0000 0.0000  2 Ca 2.58